Density functional theory data (PBE) for a geometry-optimized LaCrTe2N structure.

Density ... 4.68 Mg/m³
Energy relative to the elements, uncorrected ... 0.466 eV/atom
Energy above the most stable polymorph in this dataset ... 1.030 eV per atom
V ... 32.6 Å³/atom

Unit cell a=6.3911 b=6.3911 c=3.9945 alpha=90.00 beta=90.00 gamma=90.00
With the nearest neighbours (Å) after each atom.
Fractional positions:
La 0.0000 0.0000 0.0000  2 N 2.00
Cr 0.5000 0.5000 0.5000  8 Te 3.77, 2 Cr 3.99
Te 0.0000 0.5000 0.0000  2 La 3.20
Te 0.5000 0.0000 0.0000  2 La 3.20
N 0.0000 0.0000 0.5000  2 La 2.00